Entry 1:
A plane-wave DFT calculation with GGA-PBE was carried out for a geometry-optimized PrSmHg4 structure.

Computed properties:
total DFT energy (no corrections) = -0.15120 Ry per atom
energy relative to the elements = -273 meV/atom
distance to the lowest polymorph of the same formula = 91 meV per atom

Cell: 8.5264 8.5264 8.5264 Å, 90.00 90.00 90.00°
Last column: nearest neighbours and their distance in Å.
Space group F-43m (No. 216)
Inequivalent atoms, fractional coordinates:
1 Pr 0.0000 0.0000 0.0000 x4  12 Hg 3.53, 4 Sm 3.69
2 Sm 0.2500 0.2500 0.7500 x4  12 Hg 3.53, 4 Pr 3.69
3 Hg 0.1250 0.1250 0.3750 x16  6 Hg 3.01-3.02

***

Entry 2:
A plane-wave DFT calculation with GGA-PBE was carried out for a geometry-optimized Pr3Sm2Hg7 structure.

Computed properties:
total DFT energy (no corrections) = -0.18324 Ry per atom
energy relative to the elements = -336 meV/atom

Cell: 5.2492 23.4937 5.6435 Å, 90.00 90.00 90.00°
Last column: nearest neighbours and their distance in Å.
Space group Cmmm (No. 65)
Inequivalent atoms, fractional coordinates:
1 Pr 0.0000 0.0000 0.0000 x2  8 Hg 3.31
2 Pr 0.0000 0.1712 0.0000 x4  4 Hg 3.08-3.31
3 Sm 0.0000 0.3581 0.5000 x4  8 Hg 3.07-3.33
4 Hg 0.0000 0.0740 0.5000 x4  2 Sm 3.07, 2 Hg 3.15, 2 Pr 3.31
5 Hg 0.0000 0.2242 0.5000 x4  2 Hg 2.89, 2 Pr 3.08, 1 Sm 3.14
6 Hg 0.0000 0.4144 0.0000 x4  2 Sm 3.12, 4 Pr 3.31, 2 Hg 3.47
7 Hg 0.0000 0.5000 0.5000 x2  8 Hg 3.15-3.47, 2 Sm 3.33

***

Entry 3:
A plane-wave DFT calculation with GGA-PBE was carried out for a geometry-optimized Pr7SmHg4 structure.

Computed properties:
total DFT energy (no corrections) = -0.25148 Ry per atom
energy relative to the elements = -140 meV/atom

Cell: 15.1135 5.9194 10.1766 Å, 90.00 123.04 90.00°
Last column: nearest neighbours and their distance in Å.
Space group C2/m (No. 12)
Inequivalent atoms, fractional coordinates:
1 Pr 0.0000 0.0000 0.0000 x2  2 Sm 2.96, 4 Hg 3.08-3.19
2 Pr 0.0628 0.5000 0.4005 x4  3 Hg 3.19-3.29, 2 Pr 3.45-3.55
3 Pr 0.2114 0.5000 0.8932 x4  4 Hg 3.47-3.64, 6 Pr 3.48-3.88
4 Pr 0.2303 0.0000 0.6825 x4  4 Hg 3.07-3.27
5 Sm 0.0000 0.5000 0.0000 x2  2 Pr 2.96
6 Hg 0.0455 0.0000 0.7283 x4  4 Pr 3.07-3.29, 1 Hg 3.21
7 Hg 0.1890 0.0000 0.3436 x4  5 Pr 3.08-3.27, 1 Hg 3.21

***

Entry 4:
A plane-wave DFT calculation with GGA-PBE was carried out for a geometry-optimized Pr6SmHg2 structure.

Computed properties:
total DFT energy (no corrections) = -0.29318 Ry per atom
energy relative to the elements = -211 meV/atom
distance to the lowest polymorph of the same formula = 0 meV per atom

Cell: 13.0983 3.8379 12.3929 Å, 90.00 108.64 90.00°
Last column: nearest neighbours and their distance in Å.
Space group C2/m (No. 12)
Inequivalent atoms, fractional coordinates:
1 Pr 0.0227 0.0000 0.3369 x4  2 Hg 3.28, 3 Pr 3.58-3.67
2 Pr 0.1857 0.5000 0.8756 x4  2 Hg 3.32, 5 Pr 3.55-3.67
3 Pr 0.1900 0.5000 0.5904 x4  2 Hg 3.45, 10 Pr 3.55-3.84
4 Sm 0.0000 0.0000 0.0000 x2  4 Hg 3.18
5 Hg 0.1398 0.5000 0.1964 x4  2 Sm 3.18, 6 Pr 3.28-3.45

***

Entry 5:
A plane-wave DFT calculation with GGA-PBE was carried out for a geometry-optimized Pr5SmHg2 structure.

Computed properties:
total DFT energy (no corrections) = -0.27995 Ry per atom
energy relative to the elements = -156 meV/atom

Cell: 3.7996 10.8849 12.4872 Å, 90.00 90.00 90.00°
Last column: nearest neighbours and their distance in Å.
Space group Immm (No. 71)
Inequivalent atoms, fractional coordinates:
1 Pr 0.0000 0.0000 0.0000 x2  2 Hg 3.42, 10 Pr 3.51-3.80
2 Pr 0.0000 0.2816 0.3607 x8  3 Hg 3.25-3.48, 5 Pr 3.42-3.51
3 Sm 0.0000 0.5000 0.0000 x2  4 Hg 3.40, 2 Sm 3.80
4 Hg 0.0000 0.0000 0.2741 x4  7 Pr 3.25-3.48, 2 Sm 3.40

***

Entry 6:
A plane-wave DFT calculation with GGA-PBE was carried out for a geometry-optimized Pr6Sm2Hg structure.

Computed properties:
total DFT energy (no corrections) = -0.31396 Ry per atom
energy relative to the elements = -3 meV/atom
distance to the lowest polymorph of the same formula = 91 meV per atom

Cell: 3.6697 10.5525 16.0789 Å, 90.00 90.00 90.00°
Last column: nearest neighbours and their distance in Å.
Space group Immm (No. 71)
Inequivalent atoms, fractional coordinates:
1 Pr 0.0000 0.1595 0.1798 x8  1 Hg 3.35, 7 Pr 3.37-3.67, 1 Sm 3.64
2 Pr 0.0000 0.2187 0.5000 x4  2 Hg 3.49, 6 Pr 3.66-3.67, 4 Sm 3.76
3 Sm 0.0000 0.5000 0.1455 x4  10 Pr 3.64-3.76, 2 Sm 3.67
4 Hg 0.0000 0.0000 0.0000 x2  8 Pr 3.35-3.49, 2 Hg 3.67

***

Entry 7:
A plane-wave DFT calculation with GGA-PBE was carried out for a geometry-optimized Pr5SmHg6 structure.

Computed properties:
total DFT energy (no corrections) = -0.22110 Ry per atom
energy relative to the elements = -473 meV/atom

Cell: 5.4372 7.7307 8.5980 Å, 90.00 108.17 90.00°
Last column: nearest neighbours and their distance in Å.
Space group P2/m (No. 10)
Inequivalent atoms, fractional coordinates:
1 Pr 0.0000 0.0000 0.0000 x1  8 Hg 3.32-3.36
2 Pr 0.3325 0.0000 0.6648 x2  8 Hg 3.35-3.37
3 Pr 0.3332 0.5000 0.6664 x2  8 Hg 3.32-3.36
4 Sm 0.0000 0.5000 0.0000 x1  8 Hg 3.30-3.31
5 Hg 0.1644 0.2525 0.3289 x4  1 Sm 3.30, 7 Pr 3.32-3.37
6 Hg 0.5000 0.2548 0.0000 x2  2 Sm 3.31, 6 Pr 3.32-3.37

***

Entry 8:
A plane-wave DFT calculation with GGA-PBE was carried out for a geometry-optimized Pr2Sm6Hg structure.

Computed properties:
total DFT energy (no corrections) = -0.31876 Ry per atom
energy relative to the elements = -95 meV/atom
distance to the lowest polymorph of the same formula = 0 meV per atom

Cell: 9.5845 9.5845 3.7650 Å, 90.00 90.00 120.00°
Last column: nearest neighbours and their distance in Å.
Space group P-62m (No. 189)
Inequivalent atoms, fractional coordinates:
1 Pr 0.3333 0.6667 0.0000 x2  9 Sm 3.53-3.56, 2 Pr 3.77
2 Sm 0.0000 0.3827 0.5000 x3  4 Pr 3.53, 1 Hg 3.67, 8 Sm 3.76-3.86
3 Sm 0.0000 0.7343 0.0000 x3  2 Hg 3.17
4 Hg 0.0000 0.0000 0.5000 x1  6 Sm 3.17